#i
Below is a relaxed KSb2Ir crystal, with properties calculated at the PBEsol level.

Summary:
total moment: 0.0 μB per formula unit
calculated volume: 27.43 Å³/atom
crystal system: trigonal

Cell lengths 4.2268, 4.2268, 21.2699 Å; angles 90.00, 90.00, 120.00 degrees
Space group R-3m (No. 166, hexagonal axes)
Asymmetric unit:
K 0.0000 0.0000 0.0000 x3
Sb 0.0000 0.0000 0.2174 x6
Ir 0.0000 0.0000 0.5000 x3

=====

#ii
Below is a relaxed KSb2Ir crystal, with properties calculated at the PBEsol level.

Summary:
total moment: 0.0 μB per formula unit
calculated volume: 25.29 Å³/atom
crystal system: orthorhombic

Cell lengths 3.121, 5.975, 10.846 Å; angles 90.00, 90.00, 90.00 degrees
Space group Immm (No. 71)
Asymmetric unit:
K 0.000 0.000 0.000 x2
Sb 0.000 0.500 0.195 x4
Ir 0.000 0.000 0.500 x2

=====

What is the least stable structure shown above? It is #ii.